# ZrPa2TcC4 GGA-PBE optimized geometry
data_ZrPa2TcC4
_cell_length_a 3.433
_cell_length_b 11.580
_cell_length_c 11.832
_cell_angle_alpha 90.00
_cell_angle_beta 90.00
_cell_angle_gamma 90.00
_symmetry_space_group_name_H-M 'C m c m'
_symmetry_Int_Tables_number 63
_symmetry_space_group_name_Hall '-C 2c 2'
loop_
_atom_site_label
_atom_site_fract_x
_atom_site_fract_y
_atom_site_fract_z
Zr1 0.000 0.128 0.250
Pa1 0.000 0.365 0.045
Tc1 0.000 0.132 0.750
C1 0.000 0.000 0.000
C2 0.000 0.270 0.637
C3 0.000 0.467 0.250
# **ΔE_f**: -0.12 eV per atom
# **D(E_F)**: 18.44 states/eV/cell
# **VASP energy**: -303.09 eV for the cell shown